An optimized crystal structure of Cu2SiBi2, computed with PBE-GGA.

a b c (Å): 6.8053 6.8053 4.4165
angles (deg): 90.00 90.00 90.00
Sites, in units of the cell vectors:
1 Cu 0.1329 0.3671 0.0000
2 Cu 0.3671 0.8671 0.0000
3 Cu 0.6329 0.1329 0.0000
4 Cu 0.8671 0.6329 0.0000
5 Si 0.0000 0.0000 0.0000
6 Si 0.5000 0.5000 0.0000
7 Bi 0.1759 0.6759 0.5000
8 Bi 0.3241 0.1759 0.5000
9 Bi 0.6759 0.8241 0.5000
10 Bi 0.8241 0.3241 0.5000

Computed properties:
Symmetry = No. 127
Formation energy (no corrections) = 158 kJ/mol of formula units
Raw total energy = -3.948 eV/atom
Calculated volume = 204.54 Å³/cell

An optimized crystal structure of Ac3PrTl4, computed with PBE-GGA.

a b c (Å): 4.0700 4.0700 16.4361
angles (deg): 90.00 90.00 90.00
Sites, in units of the cell vectors:
1 Ac 0.0000 0.0000 0.0000
2 Ac 0.0000 0.0000 0.2577
3 Ac 0.0000 0.0000 0.7423
4 Pr 0.0000 0.0000 0.5000
5 Tl 0.5000 0.5000 0.1296
6 Tl 0.5000 0.5000 0.3881
7 Tl 0.5000 0.5000 0.6119
8 Tl 0.5000 0.5000 0.8704

Computed properties:
Symmetry = No. 123
Energy relative to the elements = -359 meV/atom
Raw total energy = -3.680 eV/atom
Calculated volume = 272.27 Å³/cell

An optimized crystal structure of Na2HfSnS5, computed with PBE-GGA.

a b c (Å): 8.3594 8.3594 13.6116
angles (deg): 90.00 90.00 153.86
Sites, in units of the cell vectors:
1 Na 0.0945 0.9055 0.5000
2 Na 0.1397 0.8603 0.1444
3 Na 0.8603 0.1397 0.6444
4 Na 0.9055 0.0945 0.0000
5 Hf 0.2373 0.7627 0.8730
6 Hf 0.7627 0.2373 0.3730
7 Sn 0.4532 0.5468 0.2711
8 Sn 0.5468 0.4532 0.7711
9 S 0.0648 0.9352 0.8874
10 S 0.2720 0.7280 0.4963
11 S 0.2983 0.7017 0.2439
12 S 0.3792 0.6208 0.8351
13 S 0.4954 0.5046 0.6100
14 S 0.5046 0.4954 0.1100
15 S 0.6208 0.3792 0.3351
16 S 0.7017 0.2983 0.7439
17 S 0.7280 0.2720 0.9963
18 S 0.9352 0.0648 0.3874

Computed properties:
Symmetry = No. 36
Formation energy (no corrections) = -903 kJ/mol of formula units
Raw total energy = -5.176 eV/atom
Calculated volume = 419.12 Å³/cell

An optimized crystal structure of ScSb2TeI, computed with PBE-GGA.

a b c (Å): 5.6227 5.6227 5.3950
angles (deg): 90.00 90.00 90.00
Sites, in units of the cell vectors:
1 Sc 0.0000 0.0000 0.0000
2 Sb 0.0000 0.5000 0.0000
3 Sb 0.5000 0.0000 0.0000
4 Te 0.0000 0.0000 0.5000
5 I 0.5000 0.5000 0.5000

Computed properties:
Symmetry = No. 123
Formation energy (no corrections) = 11 kJ/mol of formula units
Raw total energy = -3.832 eV/atom
Calculated volume = 170.56 Å³/cell

An optimized crystal structure of YW, computed with PBE-GGA.

a b c (Å): 7.3574 7.3574 7.3574
angles (deg): 152.35 63.15 124.47
Sites, in units of the cell vectors:
1 Y 0.0000 0.0000 0.0000
2 Y 0.0780 0.7801 0.2979
3 Y 0.4822 0.7801 0.7021
4 W 0.4690 0.4690 0.0000
5 W 0.5826 0.1823 0.4003
6 W 0.7820 0.1823 0.5997

Computed properties:
Symmetry = No. 44
Energy relative to the elements = 537 meV/atom
Raw total energy = -9.172 eV/atom
Calculated volume = 151.11 Å³/cell

An optimized crystal structure of Pm6Pr2Th, computed with PBE-GGA.

a b c (Å): 3.6461 3.6461 27.3239
angles (deg): 90.00 90.00 120.00
Sites, in units of the cell vectors:
1 Pm 0.0000 0.0000 0.0625
2 Pm 0.0000 0.0000 0.2832
3 Pm 0.0000 0.0000 0.7168
4 Pm 0.0000 0.0000 0.9375
5 Pm 0.3333 0.6667 0.3924
6 Pm 0.3333 0.6667 0.6076
7 Pr 0.3333 0.6667 0.1697
8 Pr 0.3333 0.6667 0.8303
9 Th 0.0000 0.0000 0.5000

Computed properties:
Symmetry = No. 187
Energy relative to the elements = 72 meV/atom
Raw total energy = -4.982 eV/atom
Calculated volume = 314.57 Å³/cell

An optimized crystal structure of PmNd7Ga4, computed with PBE-GGA.

a b c (Å): 7.5235 7.5235 10.5999
angles (deg): 121.16 121.16 44.34
Sites, in units of the cell vectors:
1 Pm 0.0000 0.0000 0.0000
2 Nd 0.0655 0.0655 0.3878
3 Nd 0.2052 0.2052 0.8794
4 Nd 0.2956 0.2956 0.3566
5 Nd 0.5000 0.5000 0.0000
6 Nd 0.7044 0.7044 0.6434
7 Nd 0.7948 0.7948 0.1206
8 Nd 0.9345 0.9345 0.6122
9 Ga 0.3210 0.3210 0.6693
10 Ga 0.4479 0.4479 0.2438
11 Ga 0.5521 0.5521 0.7562
12 Ga 0.6790 0.6790 0.3307

Computed properties:
Symmetry = No. 12
Energy relative to the elements = -204 meV/atom
Raw total energy = -4.390 eV/atom
Calculated volume = 347.79 Å³/cell

An optimized crystal structure of Ca2As3Pt9, computed with PBE-GGA.

a b c (Å): 7.9759 7.9759 9.8735
angles (deg): 113.83 113.83 61.13
Sites, in units of the cell vectors:
1 Ca 0.0851 0.2582 0.2515
2 Ca 0.2582 0.0851 0.7515
3 Ca 0.7418 0.9149 0.2485
4 Ca 0.9149 0.7418 0.7485
5 As 0.0000 0.5000 0.0000
6 As 0.1200 0.6938 0.5055
7 As 0.3062 0.8800 0.9945
8 As 0.5000 0.0000 0.5000
9 As 0.6938 0.1200 0.0055
10 As 0.8800 0.3062 0.4945
11 Pt 0.0191 0.8572 0.0807
12 Pt 0.1428 0.9809 0.4193
13 Pt 0.1950 0.3621 0.5864
14 Pt 0.2207 0.5813 0.2693
15 Pt 0.2994 0.4854 0.9387
16 Pt 0.3621 0.1950 0.0864
17 Pt 0.3680 0.6320 0.7500
18 Pt 0.4187 0.7793 0.2307
19 Pt 0.4854 0.2994 0.4387
20 Pt 0.5146 0.7006 0.5613
21 Pt 0.5813 0.2207 0.7693
22 Pt 0.6320 0.3680 0.2500
23 Pt 0.6379 0.8050 0.9136
24 Pt 0.7006 0.5146 0.0613
25 Pt 0.7793 0.4187 0.7307
26 Pt 0.8050 0.6379 0.4136
27 Pt 0.8572 0.0191 0.5807
28 Pt 0.9809 0.1428 0.9193

Computed properties:
Symmetry = No. 15
Energy relative to the elements = -532 meV/atom
Raw total energy = -5.698 eV/atom
Calculated volume = 485.73 Å³/cell

An optimized crystal structure of Ba2Sr6Ir, computed with PBE-GGA.

a b c (Å): 8.6672 8.6672 8.6672
angles (deg): 60.00 60.00 60.00
Sites, in units of the cell vectors:
1 Ba 0.2500 0.2500 0.2500
2 Ba 0.7500 0.7500 0.7500
3 Sr 0.2398 0.2398 0.7602
4 Sr 0.2398 0.7602 0.2398
5 Sr 0.2398 0.7602 0.7602
6 Sr 0.7602 0.2398 0.2398
7 Sr 0.7602 0.2398 0.7602
8 Sr 0.7602 0.7602 0.2398
9 Ir 0.0000 0.0000 0.0000

Computed properties:
Symmetry = No. 225
Energy relative to the elements = -123 meV/atom
Raw total energy = -2.656 eV/atom
Calculated volume = 460.38 Å³/cell

An optimized crystal structure of ZrOsPt2, computed with PBE-GGA.

a b c (Å): 2.8859 4.5913 4.9611
angles (deg): 90.00 90.00 90.00
Sites, in units of the cell vectors:
1 Zr 0.0000 0.0000 0.0000
2 Os 0.0000 0.5000 0.6492
3 Pt 0.5000 0.0000 0.5157
4 Pt 0.5000 0.5000 0.1782

Computed properties:
Symmetry = No. 25
Energy relative to the elements = -427 meV/atom
Raw total energy = -8.392 eV/atom
Calculated volume = 65.73 Å³/cell

An optimized crystal structure of ZrP2HS, computed with PBE-GGA.

a b c (Å): 5.1004 5.1004 4.9672
angles (deg): 90.00 90.00 90.00
Sites, in units of the cell vectors:
1 Zr 0.0000 0.0000 0.0000
2 P 0.0000 0.5000 0.0000
3 P 0.5000 0.0000 0.0000
4 H 0.5000 0.5000 0.5000
5 S 0.0000 0.0000 0.5000

Computed properties:
Symmetry = No. 123
Raw total energy = -4.735 eV/atom
Calculated volume = 129.22 Å³/cell

An optimized crystal structure of Ba2ScGeO6, computed with PBE-GGA.

a b c (Å): 5.7771 5.7771 5.7771
angles (deg): 60.00 60.00 60.00
Sites, in units of the cell vectors:
1 Ba 0.2500 0.2500 0.2500
2 Ba 0.7500 0.7500 0.7500
3 Sc 0.0000 0.0000 0.0000
4 Ge 0.5000 0.5000 0.5000
5 O 0.2616 0.2616 0.7384
6 O 0.2616 0.7384 0.2616
7 O 0.2616 0.7384 0.7384
8 O 0.7384 0.2616 0.2616
9 O 0.7384 0.2616 0.7384
10 O 0.7384 0.7384 0.2616

Computed properties:
Symmetry = No. 225
Formation energy (no corrections) = -2424 kJ/mol of formula units
Raw total energy = -6.967 eV/atom
Calculated volume = 136.34 Å³/cell

An optimized crystal structure of Tb2PrPd2, computed with PBE-GGA.

a b c (Å): 4.7127 4.7127 6.8217
angles (deg): 109.99 109.99 90.03
Sites, in units of the cell vectors:
1 Tb 0.2501 0.7499 0.0000
2 Tb 0.7499 0.2501 0.0000
3 Pr 0.0000 0.0000 0.5000
4 Pd 0.3874 0.3874 0.2774
5 Pd 0.6126 0.6126 0.7226

Computed properties:
Symmetry = No. 12
Energy relative to the elements = -538 meV/atom
Raw total energy = -5.423 eV/atom
Calculated volume = 132.60 Å³/cell

An optimized crystal structure of Zr2CoIr, computed with PBE-GGA.

a b c (Å): 5.7575 5.7575 5.7575
angles (deg): 150.76 129.15 59.73
Sites, in units of the cell vectors:
1 Zr 0.2395 0.2395 0.0000
2 Zr 0.7605 0.7605 0.0000
3 Co 0.0000 0.0000 0.0000
4 Ir 0.5000 0.5000 0.0000

Computed properties:
Symmetry = No. 71
Energy relative to the elements = 419 meV/atom
Raw total energy = -7.847 eV/atom
Calculated volume = 71.72 Å³/cell

An optimized crystal structure of Nd2Sm2Te7, computed with PBE-GGA.

a b c (Å): 9.7315 9.7315 9.7315
angles (deg): 154.08 68.17 118.19
Sites, in units of the cell vectors:
1 Nd 0.2426 0.0000 0.2426
2 Nd 0.7574 0.0000 0.7574
3 Sm 0.3299 0.8299 0.5000
4 Sm 0.7716 0.7716 0.0000
5 Te 0.0239 0.6992 0.3246
6 Te 0.0946 0.0946 0.0000
7 Te 0.3746 0.6992 0.6754
8 Te 0.3882 0.4970 0.8912
9 Te 0.6058 0.4970 0.1088
10 Te 0.6687 0.3117 0.3571
11 Te 0.9546 0.3117 0.6429

Computed properties:
Symmetry = No. 44
Formation energy (no corrections) = -1345 kJ/mol of formula units
Raw total energy = -4.991 eV/atom
Calculated volume = 351.63 Å³/cell

An optimized crystal structure of Sm6USe12, computed with PBE-GGA.

a b c (Å): 8.3329 8.3329 8.3329
angles (deg): 98.80 98.80 98.80
Sites, in units of the cell vectors:
1 Sm 0.1388 0.8221 0.6435
2 Sm 0.1778 0.3565 0.8612
3 Sm 0.3565 0.8612 0.1778
4 Sm 0.6435 0.1388 0.8222
5 Sm 0.8222 0.6435 0.1388
6 Sm 0.8612 0.1778 0.3565
7 U 0.5000 0.5000 0.5000
8 Se 0.0762 0.9217 0.3238
9 Se 0.0783 0.6762 0.9238
10 Se 0.1785 0.4291 0.5229
11 Se 0.3238 0.0762 0.9217
12 Se 0.4291 0.5229 0.1785
13 Se 0.4771 0.8215 0.5709
14 Se 0.5229 0.1785 0.4291
15 Se 0.5709 0.4771 0.8215
16 Se 0.6762 0.9238 0.0783
17 Se 0.8215 0.5709 0.4771
18 Se 0.9217 0.3238 0.0762
19 Se 0.9238 0.0783 0.6762

Computed properties:
Symmetry = No. 148
Formation energy (no corrections) = -3039 kJ/mol of formula units
Raw total energy = -5.943 eV/atom
Calculated volume = 555.75 Å³/cell

An optimized crystal structure of Mg2AlGe2Rh5, computed with PBE-GGA.

a b c (Å): 9.7055 9.7055 3.3075
angles (deg): 90.00 90.00 90.00
Sites, in units of the cell vectors:
1 Mg 0.1705 0.3295 0.0000
2 Mg 0.3295 0.8295 0.0000
3 Mg 0.6705 0.1705 0.0000
4 Mg 0.8295 0.6705 0.0000
5 Al 0.0000 0.0000 0.0000
6 Al 0.5000 0.5000 0.0000
7 Ge 0.1309 0.6309 0.0000
8 Ge 0.3691 0.1309 0.0000
9 Ge 0.6309 0.8691 0.0000
10 Ge 0.8691 0.3691 0.0000
11 Rh 0.0000 0.5000 0.5000
12 Rh 0.0720 0.8032 0.5000
13 Rh 0.1968 0.0720 0.5000
14 Rh 0.3032 0.5720 0.5000
15 Rh 0.4280 0.3032 0.5000
16 Rh 0.5000 0.0000 0.5000
17 Rh 0.5720 0.6968 0.5000
18 Rh 0.6968 0.4280 0.5000
19 Rh 0.8032 0.9280 0.5000
20 Rh 0.9280 0.1968 0.5000

Computed properties:
Symmetry = No. 127
Energy relative to the elements = -606 meV/atom
Raw total energy = -5.898 eV/atom
Calculated volume = 311.56 Å³/cell

An optimized crystal structure of Y4Al2InAg, computed with PBE-GGA.

a b c (Å): 9.0094 9.0094 9.0094
angles (deg): 33.43 33.43 33.43
Sites, in units of the cell vectors:
1 Y 0.1222 0.1222 0.1222
2 Y 0.3727 0.3727 0.3727
3 Y 0.6273 0.6273 0.6273
4 Y 0.8778 0.8778 0.8778
5 Al 0.2506 0.2506 0.2506
6 Al 0.7494 0.7494 0.7494
7 In 0.5000 0.5000 0.5000
8 Ag 0.0000 0.0000 0.0000

Computed properties:
Symmetry = No. 166
Energy relative to the elements = -399 meV/atom
Raw total energy = -5.265 eV/atom
Calculated volume = 197.66 Å³/cell